1.
Here is an optimized crystal structure of V2Cu2Ge from Alexandria. Energies are from PBE.

Computed properties:
Calculated formation energy (meV/atom): 405
ΔE to the lowest computed polymorph (kJ per mole of atoms): 18.4
Total moment (μB per cell): 0.0
E_tot (eV/atom): -5.805

a = 3.330 Å, b = 3.330 Å, c = 13.273 Å
α = 90.00°, β = 90.00°, γ = 90.00°
Space group I4/mmm (No. 139)
Symmetry-distinct sites (fractional):
V: 0.000 0.500 0.250
Cu: 0.000 0.000 0.095
Ge: 0.000 0.000 0.500


2.
Here is an optimized crystal structure of AgPt2Cl8 from Alexandria. Energies are from PBE.

Computed properties:
Total moment (μB per cell): 1.9
E_tot (eV/atom): -2.807
Uncorrected formation energy (meV/atom): -106

a = 14.152 Å, b = 6.564 Å, c = 6.696 Å
α = 90.00°, β = 111.69°, γ = 90.00°
Space group C2/m (No. 12)
Symmetry-distinct sites (fractional):
Ag: 0.000 0.000 0.000
Pt: 0.229 0.000 0.781
Cl: 0.113 0.000 0.431
Cl: 0.129 0.239 0.886
Cl: 0.146 0.500 0.346


3.
Here is an optimized crystal structure of ThTaSi2Rh5 from Alexandria. Energies are from PBE.

Computed properties:
Total moment (μB per cell): 0.0
E_tot (eV/atom): -8.050
Uncorrected formation energy (meV/atom): -620

a = 4.052 Å, b = 4.052 Å, c = 10.332 Å
α = 90.00°, β = 90.00°, γ = 90.00°
Space group P4/mmm (No. 123)
Symmetry-distinct sites (fractional):
Th: 0.000 0.000 0.000
Ta: 0.000 0.000 0.500
Si: 0.500 0.500 0.227
Rh: 0.000 0.500 0.339
Rh: 0.500 0.500 0.000


4.
Here is an optimized crystal structure of YPbAu from Alexandria. Energies are from PBE.

Computed properties:
Calculated formation energy (meV/atom): -529
Total moment (μB per cell): 0.0
E_tot (eV/atom): -5.013

a = 4.8481 Å, b = 4.8481 Å, c = 3.6557 Å
α = 90.00°, β = 90.00°, γ = 120.00°
Space group P3m1 (No. 156)
Symmetry-distinct sites (fractional):
Y: 0.0000 0.0000 0.0000
Pb: 0.3333 0.6667 0.5540
Au: 0.6667 0.3333 0.4046


5.
Here is an optimized crystal structure of MgZr2Rh from Alexandria. Energies are from PBE.

Computed properties:
Calculated formation energy (meV/atom): -210
ΔE to the lowest computed polymorph (kJ per mole of atoms): 18.9
Total moment (μB per cell): 0.0
E_tot (eV/atom): -6.721

a = 4.305 Å, b = 4.305 Å, c = 8.363 Å
α = 90.00°, β = 90.00°, γ = 90.00°
Space group I4/mmm (No. 139)
Symmetry-distinct sites (fractional):
Mg: 0.000 0.000 0.000
Zr: 0.000 0.500 0.250
Rh: 0.000 0.000 0.500


6.
Here is an optimized crystal structure of RbTcN2 from Alexandria. Energies are from PBE.

Computed properties:
ΔE to the lowest computed polymorph (kJ per mole of atoms): 130.4
Total moment (μB per cell): 4.0
E_tot (eV/atom): -5.813
Uncorrected formation energy (meV/atom): 1183

a = 3.2548 Å, b = 3.2548 Å, c = 23.7835 Å
α = 90.00°, β = 90.00°, γ = 120.00°
Space group R-3m (No. 166, hexagonal axes)
Symmetry-distinct sites (fractional):
Rb: 0.0000 0.0000 0.0000
Tc: 0.0000 0.0000 0.5000
N: 0.0000 0.0000 0.4233


What did the fifth record say?
Here is an optimized crystal structure of MgZr2Rh from Alexandria. Energies are from PBE.

Computed properties:
Calculated formation energy (meV/atom): -210
ΔE to the lowest computed polymorph (kJ per mole of atoms): 18.9
Total moment (μB per cell): 0.0
E_tot (eV/atom): -6.721

a = 4.305 Å, b = 4.305 Å, c = 8.363 Å
α = 90.00°, β = 90.00°, γ = 90.00°
Space group I4/mmm (No. 139)
Symmetry-distinct sites (fractional):
Mg: 0.000 0.000 0.000
Zr: 0.000 0.500 0.250
Rh: 0.000 0.000 0.500